(1)
The following is a DFT calculation (PBE-GGA) of crystalline Y3In2Ag4 at its relaxed geometry.

ΔE_f in eV per atom: -0.35
Final energy in eV per atom: -4.3849

abc: 4.771 6.004 9.072
angles: 115.32 90.00 113.41
Positions (direct):
Y1 0.656 0.312 0.679
Y2 0.000 0.000 0.000
Y3 0.344 0.688 0.321
In1 0.629 0.257 0.294
In2 0.371 0.743 0.706
Ag1 0.718 0.435 0.053
Ag2 0.282 0.565 0.947
Ag3 0.928 0.856 0.593
Ag4 0.072 0.144 0.407

(2)
The following is a DFT calculation (PBE-GGA) of crystalline AuSe3 at its relaxed geometry.

Uncorrected formation energy in eV/atom: 0.318
Final energy in eV per atom: -3.1146

abc: 6.589 6.589 6.589
angles: 156.21 124.23 61.48
Positions (direct):
Au1 0.935 0.000 0.935
Se1 0.527 0.500 0.027
Se2 0.012 0.326 0.686
Se3 0.359 0.674 0.686

(3)
The following is a DFT calculation (PBE-GGA) of crystalline TbPa2SbN5 at its relaxed geometry.

Uncorrected formation energy in eV/atom: -1.106
Final energy in eV per atom: -8.8138

abc: 3.617 7.542 11.855
angles: 90.00 90.00 103.88
Positions (direct):
Tb1 0.760 0.520 0.453
Tb2 0.240 0.480 0.953
Pa1 0.858 0.717 0.724
Pa2 0.142 0.283 0.681
Pa3 0.142 0.283 0.224
Pa4 0.858 0.717 0.181
Sb1 0.477 0.955 0.953
Sb2 0.523 0.045 0.453
N1 0.369 0.738 0.067
N2 0.710 0.420 0.801
N3 0.369 0.738 0.838
N4 0.290 0.580 0.604
N5 0.000 0.000 0.702
N6 0.631 0.262 0.567
N7 0.290 0.580 0.301
N8 0.631 0.262 0.338
N9 0.710 0.420 0.104
N10 0.000 0.000 0.202

(4)
The following is a DFT calculation (PBE-GGA) of crystalline Sr2SiSbPd6 at its relaxed geometry.

Uncorrected formation energy in eV/atom: -0.661
Final energy in eV per atom: -5.0675

abc: 6.630 7.094 5.775
angles: 65.96 64.13 85.82
Positions (direct):
Sr1 0.718 0.213 0.535
Sr2 0.282 0.787 0.465
Si1 0.500 0.500 0.000
Sb1 0.000 0.000 0.000
Pd1 0.243 0.287 0.481
Pd2 0.756 0.713 0.012
Pd3 0.136 0.624 0.120
Pd4 0.864 0.376 0.880
Pd5 0.244 0.287 0.988
Pd6 0.757 0.713 0.519

(5)
The following is a DFT calculation (PBE-GGA) of crystalline Sc3Ga3Os2Rh at its relaxed geometry.

ΔE_f in eV per atom: -0.56
Final energy in eV per atom: -6.9960

abc: 3.348 7.255 7.255
angles: 120.00 90.00 90.00
Positions (direct):
Sc1 0.000 0.610 0.610
Sc2 0.000 0.000 0.390
Sc3 0.000 0.390 0.000
Ga1 0.500 0.722 0.000
Ga2 0.500 0.000 0.722
Ga3 0.500 0.278 0.278
Os1 0.500 0.667 0.333
Os2 0.500 0.333 0.667
Rh1 0.000 0.000 0.000

(6)
The following is a DFT calculation (PBE-GGA) of crystalline LiHfIn2 at its relaxed geometry.

ΔE_f in eV per atom: -0.22
Final energy in eV per atom: -4.5547

abc: 3.282 3.282 7.468
angles: 90.00 90.00 90.00
Positions (direct):
Li1 0.500 0.500 0.000
Hf1 0.500 0.500 0.500
In1 0.000 0.000 0.775
In2 0.000 0.000 0.225

(7)
The following is a DFT calculation (PBE-GGA) of crystalline BaNaSnBiO6 at its relaxed geometry.

Uncorrected formation energy in eV/atom: -1.570
Final energy in eV per atom: -5.6570

abc: 5.952 5.952 5.952
angles: 60.00 60.00 60.00
Positions (direct):
Ba1 0.250 0.250 0.250
Na1 0.750 0.750 0.750
Sn1 0.500 0.500 0.500
Bi1 0.000 0.000 0.000
O1 0.253 0.747 0.253
O2 0.747 0.253 0.747
O3 0.253 0.747 0.747
O4 0.747 0.253 0.253
O5 0.253 0.253 0.747
O6 0.747 0.747 0.253

(8)
The following is a DFT calculation (PBE-GGA) of crystalline KV3Si at its relaxed geometry.

Uncorrected formation energy in eV/atom: 2.397
Energy relative to the lowest polymorph listed for this composition in eV/f.u.: 6.663
Final energy in eV per atom: -4.3783

abc: 4.257 4.257 4.257
angles: 90.00 90.00 90.00
Positions (direct):
K1 0.000 0.000 0.000
Si1 0.500 0.500 0.500
V1 0.000 0.500 0.000
V2 0.000 0.000 0.500
V3 0.500 0.000 0.000

(9)
The following is a DFT calculation (PBE-GGA) of crystalline Nd9DyY2 at its relaxed geometry.

ΔE_f in eV per atom: 0.01
Final energy in eV per atom: -5.0230

abc: 5.163 5.163 15.492
angles: 90.00 90.00 90.00
Positions (direct):
Nd1 0.500 0.500 0.000
Nd2 0.500 0.500 0.333
Nd3 0.500 0.500 0.667
Nd4 0.500 0.000 0.166
Nd5 0.500 0.000 0.500
Nd6 0.500 0.000 0.834
Nd7 0.000 0.500 0.166
Nd8 0.000 0.500 0.500
Nd9 0.000 0.500 0.834
Dy1 0.000 0.000 0.000
Y1 0.000 0.000 0.333
Y2 0.000 0.000 0.667

(10)
The following is a DFT calculation (PBE-GGA) of crystalline Zn2InSb at its relaxed geometry.

Uncorrected formation energy in eV/atom: 0.153
Energy relative to the lowest polymorph listed for this composition in eV/f.u.: 0.246
Final energy in eV per atom: -2.1991

abc: 6.153 6.153 6.153
angles: 150.08 129.93 59.43
Positions (direct):
In1 0.518 0.518 0.000
Sb1 0.219 0.719 0.500
Zn1 0.981 0.981 0.000
Zn2 0.782 0.282 0.500

(11)
The following is a DFT calculation (PBE-GGA) of crystalline Ta5Nb4Au at its relaxed geometry.

ΔE_f in eV per atom: -0.03
Final energy in eV per atom: -10.3094

abc: 3.346 3.346 16.246
angles: 90.00 90.00 90.00
Positions (direct):
Ta1 0.500 0.500 0.103
Ta2 0.500 0.500 0.296
Ta3 0.500 0.500 0.500
Ta4 0.500 0.500 0.704
Ta5 0.500 0.500 0.897
Nb1 0.000 0.000 0.197
Nb2 0.000 0.000 0.400
Nb3 0.000 0.000 0.600
Nb4 0.000 0.000 0.803
Au1 0.000 0.000 0.000

(12)
The following is a DFT calculation (PBE-GGA) of crystalline ScHPd3 at its relaxed geometry.

Energy relative to the lowest polymorph listed for this composition in eV/f.u.: 1.562
Final energy in eV per atom: -5.4397

abc: 5.596 5.596 5.417
angles: 90.00 90.00 122.28
Positions (direct):
Sc1 0.587 0.413 0.250
Sc2 0.413 0.587 0.750
H1 0.128 0.872 0.250
H2 0.872 0.128 0.750
Pd1 0.544 0.933 0.250
Pd2 0.067 0.456 0.250
Pd3 0.933 0.544 0.750
Pd4 0.456 0.067 0.750
Pd5 0.000 0.000 0.000
Pd6 0.000 0.000 0.500

(13)
The following is a DFT calculation (PBE-GGA) of crystalline CdGa3I at its relaxed geometry.

Uncorrected formation energy in eV/atom: 0.192
Energy relative to the lowest polymorph listed for this composition in eV/f.u.: 0.000
Final energy in eV per atom: -2.1168

abc: 5.339 5.339 5.339
angles: 90.00 90.00 90.00
Positions (direct):
I1 0.500 0.500 0.500
Ga1 0.000 0.500 0.000
Ga2 0.000 0.000 0.500
Ga3 0.500 0.000 0.000
Cd1 0.000 0.000 0.000

(14)
The following is a DFT calculation (PBE-GGA) of crystalline MgGa2 at its relaxed geometry.

ΔE_f in eV per atom: -0.11
Final energy in eV per atom: -2.6589

abc: 5.143 5.143 6.172
angles: 59.38 59.38 60.69
Positions (direct):
Mg1 0.103 0.897 0.250
Mg2 0.897 0.103 0.750
Ga1 0.237 0.438 0.752
Ga2 0.562 0.763 0.748
Ga3 0.438 0.237 0.252
Ga4 0.763 0.562 0.248

(15)
The following is a DFT calculation (PBE-GGA) of crystalline ThBeSi2Os2 at its relaxed geometry.

Uncorrected formation energy in eV/atom: -0.445
Final energy in eV per atom: -7.8531

abc: 4.249 4.249 5.335
angles: 90.00 90.00 90.00
Positions (direct):
Th1 0.000 0.000 0.500
Be1 0.000 0.000 0.000
Si1 0.500 0.500 0.733
Si2 0.500 0.500 0.267
Os1 0.500 0.000 0.000
Os2 0.000 0.500 0.000

(16)
The following is a DFT calculation (PBE-GGA) of crystalline La2NdY7 at its relaxed geometry.

ΔE_f in eV per atom: 0.48
Energy relative to the lowest polymorph listed for this composition in eV/f.u.: 4.511
Final energy in eV per atom: -5.5107

abc: 3.492 11.438 11.438
angles: 124.38 90.00 90.00
Each line ends with the local moment (μB).
Positions (direct):
La1 0.500 0.681 0.319  0.02
La2 0.500 0.319 0.681  0.02
Nd1 0.000 0.000 0.000  0.00
Y1 0.000 0.828 0.172  0.00
Y2 0.000 0.172 0.828  0.00
Y3 0.500 0.145 0.315  0.02
Y4 0.500 0.855 0.685  0.02
Y5 0.500 0.315 0.145  0.02
Y6 0.500 0.685 0.855  0.02
Y7 0.500 0.500 0.500  0.15

(17)
The following is a DFT calculation (PBE-GGA) of crystalline Sc2SCl at its relaxed geometry.

Uncorrected formation energy in eV/atom: -1.250
Energy relative to the lowest polymorph listed for this composition in eV/f.u.: 0.958
Final energy in eV per atom: -5.9096

abc: 4.584 4.584 4.584
angles: 60.00 60.00 60.00
Positions (direct):
Sc1 0.250 0.250 0.250
Sc2 0.750 0.750 0.750
S1 0.000 0.000 0.000
Cl1 0.500 0.500 0.500

(18)
The following is a DFT calculation (PBE-GGA) of crystalline SmGdI at its relaxed geometry.

Uncorrected formation energy in eV/atom: -0.549
Energy relative to the lowest polymorph listed for this composition in eV/f.u.: 0.000
Final energy in eV per atom: -7.3328

abc: 3.893 3.893 7.655
angles: 90.00 90.00 120.00
Each line ends with the local moment (μB).
Positions (direct):
I1 0.667 0.333 0.334  -0.01
Gd1 0.333 0.667 0.657  7.16
Sm1 0.000 0.000 0.009  0.06

(19)
The following is a DFT calculation (PBE-GGA) of crystalline Cs5InCl6 at its relaxed geometry.

Uncorrected formation energy in eV/atom: -1.768
Final energy in eV per atom: -3.2747

abc: 8.536 8.543 8.544
angles: 60.00 80.39 70.50
Positions (direct):
Cs1 0.500 0.167 0.666
Cs2 0.000 0.333 0.333
Cs3 0.500 0.500 0.000
Cs4 0.000 0.667 0.667
Cs5 0.500 0.833 0.334
In1 0.000 0.000 0.000
Cl1 0.757 0.081 0.319
Cl2 0.243 0.600 0.319
Cl3 0.241 0.238 0.000
Cl4 0.759 0.762 0.000
Cl5 0.757 0.400 0.681
Cl6 0.243 0.919 0.681

(20)
The following is a DFT calculation (PBE-GGA) of crystalline LaTeS2N at its relaxed geometry.

Uncorrected formation energy in eV/atom: 0.361
Energy relative to the lowest polymorph listed for this composition in eV/f.u.: 3.024
Final energy in eV per atom: -4.5689

abc: 5.636 5.636 4.190
angles: 90.00 90.00 90.00
Positions (direct):
N1 0.000 0.000 0.500
S1 0.000 0.500 0.000
S2 0.500 0.000 0.000
Te1 0.500 0.500 0.500
La1 0.000 0.000 0.000

| no. | size of the total moment (μB/atom) |
| --- | --- |
| 1 | 0.000 |
| 2 | 0.000 |
| 3 | 0.000 |
| 4 | 0.000 |
| 5 | 0.000 |
| 6 | 0.000 |
| 7 | 0.000 |
| 8 | 0.000 |
| 9 | 0.000 |
| 10 | 0.000 |
| 11 | 0.000 |
| 12 | 0.000 |
| 13 | 0.000 |
| 14 | 0.000 |
| 15 | 0.000 |
| 16 | 0.049 |
| 17 | 0.000 |
| 18 | 2.527 |
| 19 | 0.000 |
| 20 | 0.000 |